[1]
VASP calculation (PBE) on a relaxed structure of RbPu2I5.

Cell lengths 4.760, 8.177, 9.717 Å; angles 114.88, 104.17, 90.01 degrees
Atoms (fractional coordinates):
Rb1 0.000 0.000 0.000
Pu1 0.188 0.688 0.376
Pu2 0.812 0.312 0.624
I1 0.000 0.500 0.000
I2 0.653 0.388 0.306
I3 0.347 0.612 0.694
I4 0.653 0.918 0.306
I5 0.347 0.082 0.694

Summary:
raw formation energy: -1104 meV per atom
space group: Immm (71)

---

[2]
VASP calculation (PBE) on a relaxed structure of Ac3LaSm2Se6.

Cell lengths 7.499, 7.499, 7.570 Å; angles 99.52, 99.52, 120.16 degrees
Atoms (fractional coordinates):
Ac1 0.164 0.836 0.500
Ac2 0.836 0.164 0.500
Ac3 0.500 0.500 0.500
La1 0.000 0.000 0.000
Sm1 0.333 0.667 0.000
Sm2 0.667 0.333 0.000
Se1 0.922 0.583 0.766
Se2 0.737 0.737 0.231
Se3 0.078 0.417 0.234
Se4 0.583 0.922 0.766
Se5 0.263 0.263 0.769
Se6 0.417 0.078 0.234

Summary:
raw formation energy: -1867 meV per atom
space group: C2/m (12)

---

[3]
VASP calculation (PBE) on a relaxed structure of CuSi.

Cell lengths 6.741, 6.741, 4.245 Å; angles 90.00, 90.00, 120.00 degrees
Atoms (fractional coordinates):
Cu1 0.964 0.210 0.250
Cu2 0.754 0.964 0.750
Cu3 0.790 0.754 0.250
Cu4 0.036 0.790 0.750
Cu5 0.246 0.036 0.250
Cu6 0.210 0.246 0.750
Si1 0.531 0.912 0.250
Si2 0.619 0.531 0.750
Si3 0.088 0.619 0.250
Si4 0.469 0.088 0.750
Si5 0.381 0.469 0.250
Si6 0.912 0.381 0.750

Summary:
raw formation energy: 123 meV per atom
space group: P6_3/m (176)

---

[4]
VASP calculation (PBE) on a relaxed structure of LiPu3Tl3Se8.

Cell lengths 8.275, 8.274, 9.049 Å; angles 117.19, 90.00, 120.01 degrees
Atoms (fractional coordinates):
Li1 0.000 0.000 0.500
Pu1 0.500 0.000 0.500
Pu2 0.500 0.500 0.500
Pu3 0.000 0.500 0.500
Tl1 0.000 0.000 0.000
Tl2 0.000 0.500 0.000
Tl3 0.500 0.500 0.000
Se1 0.265 0.530 0.295
Se2 0.735 0.470 0.705
Se3 0.763 0.527 0.303
Se4 0.237 0.473 0.697
Se5 0.763 0.040 0.303
Se6 0.237 0.960 0.697
Se7 0.277 0.040 0.303
Se8 0.723 0.960 0.697

Summary:
raw formation energy: -986 meV per atom
space group: R-3m (166)

---

[5]
VASP calculation (PBE) on a relaxed structure of Be2AlBi.

Cell lengths 6.971, 6.971, 5.793 Å; angles 53.01, 53.01, 90.00 degrees
Atoms (fractional coordinates):
Be1 0.603 0.125 0.250
Be2 0.147 0.625 0.250
Be3 0.375 0.397 0.750
Be4 0.875 0.853 0.750
Bi1 0.000 0.000 0.000
Bi2 0.750 0.250 0.500
Al1 0.500 0.500 0.000
Al2 0.250 0.750 0.500

Summary:
distance to the lowest polymorph of the same formula: 0.12 eV per formula unit
ΔH_f (0 K): 772.6 meV per atom
space group: I-42d (122)

---

[6]
VASP calculation (PBE) on a relaxed structure of CsSmCu2Br8.

Cell lengths 6.637, 6.637, 10.917 Å; angles 86.82, 86.82, 73.13 degrees
Atoms (fractional coordinates):
Cs1 0.000 0.000 0.500
Sm1 0.000 0.000 0.000
Cu1 0.628 0.628 0.210
Cu2 0.372 0.372 0.790
Br1 0.764 0.242 0.800
Br2 0.730 0.730 0.008
Br3 0.666 0.666 0.417
Br4 0.334 0.334 0.583
Br5 0.270 0.270 0.992
Br6 0.242 0.764 0.800
Br7 0.758 0.236 0.200
Br8 0.236 0.758 0.200

Summary:
raw formation energy: -1008 meV per atom
space group: C2/m (12)

---

[7]
VASP calculation (PBE) on a relaxed structure of Pm12Bi2Pb5.

Cell lengths 7.235, 9.725, 10.599 Å; angles 102.21, 90.00, 111.84 degrees
Atoms (fractional coordinates):
Pm1 0.903 0.806 0.189
Pm2 0.080 0.643 0.904
Pm3 0.563 0.643 0.904
Pm4 0.118 0.708 0.442
Pm5 0.591 0.708 0.442
Pm6 0.486 0.972 0.735
Pm7 0.514 0.028 0.265
Pm8 0.882 0.292 0.558
Pm9 0.409 0.292 0.558
Pm10 0.920 0.357 0.096
Pm11 0.437 0.357 0.096
Pm12 0.097 0.194 0.811
Bi1 0.763 0.000 0.000
Bi2 0.237 0.000 0.000
Pb1 0.294 0.587 0.649
Pb2 0.333 0.666 0.177
Pb3 0.000 0.000 0.500
Pb4 0.667 0.334 0.823
Pb5 0.706 0.413 0.351

Summary:
ΔH_f (0 K): -305.4 meV per atom
space group: C2/m (12)

---

[8]
VASP calculation (PBE) on a relaxed structure of Na2HfSnRu.

Cell lengths 5.250, 5.535, 5.250 Å; angles 90.00, 90.00, 90.00 degrees
Atoms (fractional coordinates):
Ru1 0.500 0.500 0.500
Hf1 0.000 0.500 0.000
Sn1 0.000 0.000 0.000
Na1 0.000 0.000 0.500
Na2 0.500 0.000 0.000

Summary:
ΔH_f (0 K): 1343.4 meV per atom
space group: P4/mmm (123)

---

[9]
VASP calculation (PBE) on a relaxed structure of Ho2Ge6Rh9.

Cell lengths 5.638, 5.638, 11.198 Å; angles 90.00, 90.00, 120.00 degrees
Atoms (fractional coordinates):
Ho1 0.000 0.000 0.702
Ho2 0.000 0.000 0.298
Ge1 0.333 0.667 0.000
Ge2 0.667 0.333 0.000
Ge3 0.333 0.667 0.665
Ge4 0.667 0.333 0.665
Ge5 0.667 0.333 0.335
Ge6 0.333 0.667 0.335
Rh1 0.500 0.000 0.831
Rh2 0.000 0.500 0.831
Rh3 0.500 0.500 0.831
Rh4 0.500 0.000 0.169
Rh5 0.000 0.500 0.169
Rh6 0.500 0.500 0.169
Rh7 0.500 0.000 0.500
Rh8 0.000 0.500 0.500
Rh9 0.500 0.500 0.500

Summary:
ΔH_f (0 K): -611.6 meV per atom
space group: P6/mmm (191)

---

[10]
VASP calculation (PBE) on a relaxed structure of Ca2AlRu.

Cell lengths 3.392, 3.392, 8.391 Å; angles 90.00, 90.00, 90.00 degrees
Atoms (fractional coordinates):
Ru1 0.000 0.000 0.570
Ca1 0.000 0.000 0.929
Ca2 0.500 0.500 0.325
Al1 0.500 0.500 0.676

Summary:
distance to the lowest polymorph of the same formula: 0.00 eV per formula unit
ΔH_f (0 K): -203.8 meV per atom
space group: P4mm (99)

---

[11]
VASP calculation (PBE) on a relaxed structure of NaCePt2.

Cell lengths 3.488, 3.488, 7.101 Å; angles 90.00, 90.00, 90.00 degrees
Atoms (fractional coordinates):
Na1 0.500 0.500 0.500
Ce1 0.500 0.500 0.000
Pt1 0.000 0.000 0.771
Pt2 0.000 0.000 0.229

Summary:
ΔH_f (0 K): -670.7 meV per atom
space group: P4/mmm (123)

---

[12]
VASP calculation (PBE) on a relaxed structure of K4RhF5.

Cell lengths 5.326, 6.461, 6.461 Å; angles 80.22, 65.66, 65.66 degrees
Atoms (fractional coordinates):
K1 0.401 0.394 0.805
K2 0.796 0.805 0.606
K3 0.207 0.195 0.394
K4 0.601 0.606 0.195
Rh1 0.002 0.000 0.000
F1 0.912 0.371 0.808
F2 0.283 0.808 0.629
F3 0.719 0.192 0.371
F4 0.091 0.629 0.192
F5 0.500 0.000 0.000

Summary:
raw formation energy: -2152 meV per atom
space group: I4 (79)

---

[13]
VASP calculation (PBE) on a relaxed structure of Sc2HS.

Cell lengths 3.448, 3.448, 7.330 Å; angles 61.93, 61.93, 60.00 degrees
Atoms (fractional coordinates):
Sc1 0.097 0.542 0.488
Sc2 0.718 0.163 0.056
H1 0.307 0.752 0.173
S1 0.581 0.026 0.762

Summary:
distance to the lowest polymorph of the same formula: 0.18 eV per formula unit
space group: R3m (160)

---

[14]
VASP calculation (PBE) on a relaxed structure of PrNiAgPb.

Cell lengths 4.979, 4.979, 4.979 Å; angles 60.00, 60.00, 60.00 degrees
Atoms (fractional coordinates):
Pb1 0.500 0.500 0.500
Pr1 0.000 0.000 0.000
Ag1 0.250 0.250 0.250
Ni1 0.750 0.750 0.750

Summary:
ΔH_f (0 K): -178.2 meV per atom
space group: F-43m (216)

---

[15]
VASP calculation (PBE) on a relaxed structure of SrPb2W.

Cell lengths 6.085, 6.085, 6.085 Å; angles 136.10, 136.10, 63.82 degrees
Atoms (fractional coordinates):
Pb1 0.000 0.000 0.000
Pb2 0.250 0.750 0.500
Sr1 0.500 0.500 0.000
W1 0.750 0.250 0.500

Summary:
distance to the lowest polymorph of the same formula: 1.36 eV per formula unit
ΔH_f (0 K): 790.4 meV per atom
space group: I-4m2 (119)

---

[16]
VASP calculation (PBE) on a relaxed structure of Sr2Ga4Pd.

Cell lengths 4.797, 4.797, 8.968 Å; angles 74.49, 74.49, 90.00 degrees
Atoms (fractional coordinates):
Sr1 0.346 0.346 0.308
Sr2 0.654 0.654 0.692
Ga1 0.154 0.154 0.692
Ga2 0.846 0.846 0.308
Ga3 0.000 0.500 0.000
Ga4 0.500 0.000 0.000
Pd1 0.000 0.000 0.000

Summary:
ΔH_f (0 K): -301.6 meV per atom
space group: I4/mmm (139)

---

[17]
VASP calculation (PBE) on a relaxed structure of MgCdAsRh2.

Cell lengths 4.618, 4.793, 4.618 Å; angles 90.00, 90.00, 90.00 degrees
Atoms (fractional coordinates):
As1 0.000 0.000 0.000
Rh1 0.000 0.000 0.500
Rh2 0.500 0.000 0.000
Mg1 0.000 0.500 0.000
Cd1 0.500 0.500 0.500

Summary:
ΔH_f (0 K): 156.5 meV per atom
space group: P4/mmm (123)

---

[18]
VASP calculation (PBE) on a relaxed structure of Y6Ir5Au.

Cell lengths 4.832, 7.112, 7.663 Å; angles 90.00, 108.83, 90.00 degrees
Atoms (fractional coordinates):
Y1 0.831 0.748 0.660
Y2 0.831 0.252 0.660
Y3 0.500 0.258 0.000
Y4 0.500 0.742 0.000
Y5 0.169 0.748 0.340
Y6 0.169 0.252 0.340
Ir1 0.666 0.500 0.333
Ir2 0.335 0.000 0.668
Ir3 0.000 0.500 0.000
Ir4 0.665 0.000 0.332
Ir5 0.334 0.500 0.667
Au1 0.000 0.000 0.000

Summary:
ΔH_f (0 K): -794.6 meV per atom
space group: P2/m (10)

---

[19]
VASP calculation (PBE) on a relaxed structure of PmH3.

Cell lengths 3.412, 3.411, 3.411 Å; angles 90.00, 90.00, 90.00 degrees
Atoms (fractional coordinates):
H1 0.000 0.000 0.083
H2 0.000 0.500 0.583
H3 0.500 0.500 0.084
Pm1 0.500 0.000 0.583

Summary:
distance to the lowest polymorph of the same formula: 0.59 eV per formula unit
space group: Pm-3m (221)

---

[20]
VASP calculation (PBE) on a relaxed structure of LiCa2AcSe4.

Cell lengths 4.332, 7.437, 7.269 Å; angles 71.14, 90.00, 90.00 degrees
Atoms (fractional coordinates):
Li1 0.500 0.500 0.000
Ca1 0.000 0.000 0.000
Ca2 0.500 0.000 0.500
Ac1 0.000 0.500 0.500
Se1 0.000 0.757 0.752
Se2 0.000 0.243 0.248
Se3 0.500 0.756 0.239
Se4 0.500 0.244 0.761

Summary:
raw formation energy: -1836 meV per atom
space group: P2/m (10)

---

[21]
VASP calculation (PBE) on a relaxed structure of La4Sm2Y3.

Cell lengths 5.979, 6.528, 13.254 Å; angles 130.54, 90.00, 117.25 degrees
Atoms (fractional coordinates):
La1 0.656 0.311 0.971
La2 0.344 0.689 0.029
La3 0.899 0.799 0.673
La4 0.101 0.201 0.327
Sm1 0.783 0.566 0.324
Sm2 0.217 0.434 0.676
Y1 0.549 0.098 0.651
Y2 0.000 0.000 0.000
Y3 0.451 0.902 0.349

Summary:
distance to the lowest polymorph of the same formula: 0.68 eV per formula unit
ΔH_f (0 K): 98.7 meV per atom
space group: C2/m (12)

---

[22]
VASP calculation (PBE) on a relaxed structure of Mg2TcIrBr.

Cell lengths 4.996, 5.035, 4.996 Å; angles 90.00, 90.00, 90.00 degrees
Atoms (fractional coordinates):
Mg1 0.000 0.000 0.500
Mg2 0.500 0.000 0.000
Ir1 0.000 0.000 0.000
Tc1 0.500 0.500 0.500
Br1 0.000 0.500 0.000

Summary:
raw formation energy: 1057 meV per atom
space group: P4/mmm (123)

---

[23]
VASP calculation (PBE) on a relaxed structure of LaCd2Pb.

Cell lengths 6.702, 6.702, 3.288 Å; angles 77.24, 77.24, 120.35 degrees
Atoms (fractional coordinates):
Pb1 0.000 0.500 0.500
Cd1 0.000 0.000 0.000
Cd2 0.500 0.500 0.000
La1 0.500 0.000 0.500

Summary:
ΔH_f (0 K): -181.1 meV per atom
space group: C2/m (12)

---

[24]
VASP calculation (PBE) on a relaxed structure of CdAs.

Cell lengths 9.114, 9.114, 5.439 Å; angles 90.00, 90.00, 90.00 degrees
Atoms (fractional coordinates):
Cd1 0.292 0.945 0.000
Cd2 0.708 0.055 0.000
Cd3 0.055 0.292 0.000
Cd4 0.945 0.708 0.000
Cd5 0.792 0.445 0.500
Cd6 0.208 0.555 0.500
Cd7 0.555 0.792 0.500
Cd8 0.445 0.208 0.500
As1 0.336 0.227 0.000
As2 0.664 0.773 0.000
As3 0.773 0.336 0.000
As4 0.227 0.664 0.000
As5 0.836 0.727 0.500
As6 0.164 0.273 0.500
As7 0.273 0.836 0.500
As8 0.727 0.164 0.500

Summary:
distance to the lowest polymorph of the same formula: 0.42 eV per formula unit
ΔH_f (0 K): 127.2 meV per atom
space group: I4/m (87)